A plane-wave DFT calculation with PBE+U was carried out for a geometry-optimized V4O structure.

Properties
The density of states at the Fermi level is 0.266 states/eV/atom. The value obtained for the spin magnetization is 2.402 μB/atom. The total energy comes out at -6.43 eV per atom.

Unit cell a=4.3617 b=4.3617 c=4.3617 alpha=90.00 beta=90.00 gamma=90.00
Site moments in Bohr magnetons follow the coordinates.
Element x y z (fractional)
V1 0.5000 0.5000 0.0000  2.62
V2 0.5000 0.0000 0.5000  2.62
V3 0.0000 0.0000 0.0000  2.61
V4 0.0000 0.5000 0.5000  2.62
O1 0.5000 0.5000 0.5000  0.05